DFT (PBE+U) results for a geometry-optimized RbFe3Se4O12 structure. Values from VASP.

Structure (Quantum ESPRESSO input):
```
&SYSTEM
  ibrav = 0, nat = 20, ntyp = 4
/
ATOMIC_SPECIES
Rb 85.47 Rb.upf
Fe 55.84 Fe.upf
Se 78.96 Se.upf
O 16.00 O.upf
CELL_PARAMETERS angstrom
5.820 3.360 2.563
-5.820 3.360 2.563
0.000 -6.720 2.563
ATOMIC_POSITIONS crystal
Rb 0.000 0.000 0.000
Fe 0.000 0.573 0.427
Fe 0.427 0.000 0.573
Fe 0.573 0.427 0.000
Se 0.071 0.500 0.929
Se 0.500 0.500 0.500
Se 0.500 0.929 0.071
Se 0.929 0.071 0.500
O 0.088 0.632 0.764
O 0.121 0.879 0.500
O 0.236 0.368 0.912
O 0.338 0.662 0.500
O 0.368 0.912 0.236
O 0.500 0.121 0.879
O 0.500 0.338 0.662
O 0.632 0.764 0.088
O 0.662 0.500 0.338
O 0.764 0.088 0.632
O 0.879 0.500 0.121
O 0.912 0.236 0.368
```

Values from the calculation:
- theoretical density (g/cm³) = 4.2
- electronic total energy (eV/atom) = -5.34